No. 1
# AgSb2Au | Alexandria | SCAN | PBEsol geometry
data_AgSb2Au
_chemical_formula_sum 'Ag4 Sb8 Au4'
_cell_length_a 6.991
_cell_length_b 6.991
_cell_length_c 6.991
_cell_angle_alpha 90.00
_cell_angle_beta 90.00
_cell_angle_gamma 90.00
_symmetry_space_group_name_H-M 'F m -3 m'
_symmetry_Int_Tables_number 225
_symmetry_space_group_name_Hall '-F 4 2 3'
loop_
_atom_site_label
_atom_site_type_symbol
_atom_site_fract_x
_atom_site_fract_y
_atom_site_fract_z
_atom_site_occupancy
Ag1 Ag 0.000 0.000 0.000 1
Sb1 Sb 0.250 0.250 0.250 1
Au1 Au 0.000 0.000 0.500 1
# ΔE_f (raw)	0.240	eV per atom
# D(E_F)	0.484	states/eV/atom
# magnetic moment	0.000	μB/cell
# total DFT energy (no corrections)	-43.52	eV/atom
# ΔE to the lowest computed polymorph	224	meV/atom

No. 2
# Ag3SbAu | Alexandria | SCAN | PBEsol geometry
data_Ag3SbAu
_chemical_formula_sum 'Ag3 Sb1 Au1'
_cell_length_a 4.988
_cell_length_b 4.988
_cell_length_c 4.988
_cell_angle_alpha 90.00
_cell_angle_beta 90.00
_cell_angle_gamma 90.00
_symmetry_space_group_name_H-M 'P m -3 m'
_symmetry_Int_Tables_number 221
_symmetry_space_group_name_Hall '-P 4 2 3'
loop_
_atom_site_label
_atom_site_type_symbol
_atom_site_fract_x
_atom_site_fract_y
_atom_site_fract_z
_atom_site_occupancy
Ag1 Ag 0.000 0.000 0.500 1
Sb1 Sb 0.500 0.500 0.500 1
Au1 Au 0.000 0.000 0.000 1
# ΔE_f (raw)	0.636	eV per atom
# D(E_F)	0.445	states/eV/atom
# magnetic moment	0.000	μB/cell
# total DFT energy (no corrections)	-39.47	eV/atom

No. 3
# AgSb2Au | Alexandria | SCAN | PBEsol geometry
data_AgSb2Au
_chemical_formula_sum 'Ag1 Sb2 Au1'
_cell_length_a 4.236
_cell_length_b 3.813
_cell_length_c 5.661
_cell_angle_alpha 90.00
_cell_angle_beta 108.01
_cell_angle_gamma 90.00
_symmetry_space_group_name_H-M 'P 1 m 1'
_symmetry_Int_Tables_number 6
loop_
_symmetry_equiv_pos_as_xyz
'x,y,z'
'x,-y,z'
loop_
_atom_site_label
_atom_site_type_symbol
_atom_site_fract_x
_atom_site_fract_y
_atom_site_fract_z
_atom_site_occupancy
Ag1 Ag 0.000 0.000 0.000 1
Sb1 Sb 0.468 0.500 0.897 1
Sb2 Sb 0.861 0.000 0.476 1
Au1 Au 0.332 0.500 0.377 1
# ΔE_f (raw)	0.016	eV per atom
# D(E_F)	0.375	states/eV/atom
# magnetic moment	0.000	μB/cell
# total DFT energy (no corrections)	-43.75	eV/atom
# ΔE to the lowest computed polymorph	0	meV/atom

No. 4
# AgSbAu2 | Alexandria | SCAN | PBEsol geometry
data_AgSbAu2
_chemical_formula_sum 'Ag1 Sb1 Au2'
_cell_length_a 2.995
_cell_length_b 4.669
_cell_length_c 5.705
_cell_angle_alpha 90.00
_cell_angle_beta 100.29
_cell_angle_gamma 90.00
_symmetry_space_group_name_H-M 'P 1 m 1'
_symmetry_Int_Tables_number 6
loop_
_symmetry_equiv_pos_as_xyz
'x,y,z'
'x,-y,z'
loop_
_atom_site_label
_atom_site_type_symbol
_atom_site_fract_x
_atom_site_fract_y
_atom_site_fract_z
_atom_site_occupancy
Ag1 Ag 0.000 0.000 0.000 1
Sb1 Sb 0.349 0.500 0.313 1
Au1 Au 0.351 0.000 0.557 1
Au2 Au 0.433 0.500 0.837 1
# ΔE_f (raw)	0.004	eV per atom
# D(E_F)	0.344	states/eV/atom
# magnetic moment	0.000	μB/cell
# total DFT energy (no corrections)	-51.73	eV/atom

No. 5
# AgSbAu2 | Alexandria | SCAN | PBEsol geometry
data_AgSbAu2
_chemical_formula_sum 'Ag3 Sb3 Au6'
_cell_length_a 3.1268
_cell_length_b 3.1268
_cell_length_c 27.0303
_cell_angle_alpha 90.00
_cell_angle_beta 90.00
_cell_angle_gamma 120.00
_symmetry_space_group_name_H-M 'R -3 m'
_symmetry_Int_Tables_number 166
_symmetry_space_group_name_Hall '-R 3 2"'
loop_
_atom_site_label
_atom_site_type_symbol
_atom_site_fract_x
_atom_site_fract_y
_atom_site_fract_z
_atom_site_occupancy
Ag1 Ag 0.0000 0.0000 0.0000 1
Sb1 Sb 0.0000 0.0000 0.5000 1
Au1 Au 0.0000 0.0000 0.2540 1
# ΔE_f (raw)	0.119	eV per atom
# D(E_F)	0.283	states/eV/atom
# magnetic moment	0.000	μB/cell
# total DFT energy (no corrections)	-51.62	eV/atom

No. 6
# Ag2SbAu2 | Alexandria | SCAN | PBEsol geometry
data_Ag2SbAu2
_chemical_formula_sum 'Ag4 Sb2 Au4'
_cell_length_a 7.689
_cell_length_b 7.689
_cell_length_c 3.186
_cell_angle_alpha 90.00
_cell_angle_beta 90.00
_cell_angle_gamma 90.00
_symmetry_space_group_name_H-M 'P 4/m b m'
_symmetry_Int_Tables_number 127
_symmetry_space_group_name_Hall '-P 4 2ab'
loop_
_atom_site_label
_atom_site_type_symbol
_atom_site_fract_x
_atom_site_fract_y
_atom_site_fract_z
_atom_site_occupancy
Ag1 Ag 0.163 0.337 0.000 1
Sb1 Sb 0.000 0.000 0.500 1
Au1 Au 0.134 0.634 0.500 1
# ΔE_f (raw)	0.014	eV per atom
# D(E_F)	0.336	states/eV/atom
# magnetic moment	0.001	μB/cell
# total DFT energy (no corrections)	-47.65	eV/atom

No. 7
# AgSbAu2 | Alexandria | SCAN | PBEsol geometry
data_AgSbAu2
_chemical_formula_sum 'Ag1 Sb1 Au2'
_cell_length_a 3.608
_cell_length_b 3.608
_cell_length_c 5.776
_cell_angle_alpha 90.00
_cell_angle_beta 90.00
_cell_angle_gamma 90.00
_symmetry_space_group_name_H-M 'P 4/m m m'
_symmetry_Int_Tables_number 123
_symmetry_space_group_name_Hall '-P 4 2'
loop_
_atom_site_label
_atom_site_type_symbol
_atom_site_fract_x
_atom_site_fract_y
_atom_site_fract_z
_atom_site_occupancy
Ag1 Ag 0.000 0.000 0.000 1
Sb1 Sb 0.000 0.000 0.500 1
Au1 Au 0.500 0.500 0.241 1
# ΔE_f (raw)	0.023	eV per atom
# D(E_F)	0.322	states/eV/atom
# magnetic moment	0.000	μB/cell
# total DFT energy (no corrections)	-51.71	eV/atom

No. 8
# AgSbTe2Au | Alexandria | SCAN | PBEsol geometry
data_AgSbTe2Au
_chemical_formula_sum 'Ag1 Sb1 Te2 Au1'
_cell_length_a 5.445
_cell_length_b 5.445
_cell_length_c 5.177
_cell_angle_alpha 90.00
_cell_angle_beta 90.00
_cell_angle_gamma 90.00
_symmetry_space_group_name_H-M 'P 4/m m m'
_symmetry_Int_Tables_number 123
_symmetry_space_group_name_Hall '-P 4 2'
loop_
_atom_site_label
_atom_site_type_symbol
_atom_site_fract_x
_atom_site_fract_y
_atom_site_fract_z
_atom_site_occupancy
Ag1 Ag 0.000 0.000 0.000 1
Sb1 Sb 0.500 0.500 0.000 1
Te1 Te 0.000 0.500 0.500 1
Au1 Au 0.500 0.500 0.500 1
# ΔE_f (raw)	0.642	eV per atom
# D(E_F)	0.862	states/eV/atom
# magnetic moment	0.000	μB/cell
# total DFT energy (no corrections)	-41.82	eV/atom

No. 9
# Tl2AgSbAu | Alexandria | SCAN | PBEsol geometry
data_Tl2AgSbAu
_chemical_formula_sum 'Tl2 Ag1 Sb1 Au1'
_cell_length_a 5.316
_cell_length_b 5.316
_cell_length_c 5.205
_cell_angle_alpha 90.00
_cell_angle_beta 90.00
_cell_angle_gamma 90.00
_symmetry_space_group_name_H-M 'P 4/m m m'
_symmetry_Int_Tables_number 123
_symmetry_space_group_name_Hall '-P 4 2'
loop_
_atom_site_label
_atom_site_type_symbol
_atom_site_fract_x
_atom_site_fract_y
_atom_site_fract_z
_atom_site_occupancy
Tl1 Tl 0.000 0.500 0.000 1
Ag1 Ag 0.000 0.000 0.000 1
Sb1 Sb 0.000 0.000 0.500 1
Au1 Au 0.500 0.500 0.500 1
# ΔE_f (raw)	0.480	eV per atom
# D(E_F)	0.384	states/eV/atom
# magnetic moment	0.000	μB/cell
# total DFT energy (no corrections)	-56.02	eV/atom

No. 10
# Sc2AgAu2 | Alexandria | SCAN | PBEsol geometry
data_Sc2AgAu2
_chemical_formula_sum 'Sc4 Ag2 Au4'
_cell_length_a 7.541
_cell_length_b 7.541
_cell_length_c 3.355
_cell_angle_alpha 90.00
_cell_angle_beta 90.00
_cell_angle_gamma 90.00
_symmetry_space_group_name_H-M 'P 4/m b m'
_symmetry_Int_Tables_number 127
_symmetry_space_group_name_Hall '-P 4 2ab'
loop_
_atom_site_label
_atom_site_type_symbol
_atom_site_fract_x
_atom_site_fract_y
_atom_site_fract_z
_atom_site_occupancy
Sc1 Sc 0.166 0.334 0.000 1
Ag1 Ag 0.000 0.000 0.500 1
Au1 Au 0.133 0.633 0.500 1
# D(E_F)	0.514	states/eV/atom
# magnetic moment	0.000	μB/cell
# total DFT energy (no corrections)	-40.46	eV/atom
# energy relative to the elements	-0.829	eV per atom

No. 11
# ScAg3Au | Alexandria | SCAN | PBEsol geometry
data_ScAg3Au
_chemical_formula_sum 'Sc1 Ag3 Au1'
_cell_length_a 4.971
_cell_length_b 4.971
_cell_length_c 4.971
_cell_angle_alpha 90.00
_cell_angle_beta 90.00
_cell_angle_gamma 90.00
_symmetry_space_group_name_H-M 'P m -3 m'
_symmetry_Int_Tables_number 221
_symmetry_space_group_name_Hall '-P 4 2 3'
loop_
_atom_site_label
_atom_site_type_symbol
_atom_site_fract_x
_atom_site_fract_y
_atom_site_fract_z
_atom_site_occupancy
Sc1 Sc 0.000 0.000 0.000 1
Ag1 Ag 0.000 0.500 0.500 1
Au1 Au 0.500 0.500 0.500 1
# D(E_F)	0.910	states/eV/atom
# magnetic moment	0.773	μB/cell
# total DFT energy (no corrections)	-34.92	eV/atom
# energy relative to the elements	0.578	eV per atom

No. 12
# ScAgAu | Alexandria | SCAN | PBEsol geometry
data_ScAgAu
_chemical_formula_sum 'Sc2 Ag2 Au2'
_cell_length_a 3.499
_cell_length_b 3.499
_cell_length_c 8.722
_cell_angle_alpha 90.00
_cell_angle_beta 90.00
_cell_angle_gamma 90.00
_symmetry_space_group_name_H-M 'I 4 m m'
_symmetry_Int_Tables_number 107
_symmetry_space_group_name_Hall 'I 4 -2'
loop_
_atom_site_label
_atom_site_type_symbol
_atom_site_fract_x
_atom_site_fract_y
_atom_site_fract_z
_atom_site_occupancy
Sc1 Sc 0.000 0.000 0.000 1
Ag1 Ag 0.000 0.000 0.329 1
Au1 Au 0.000 0.000 0.659 1
# D(E_F)	0.303	states/eV/atom
# magnetic moment	0.000	μB/cell
# total DFT energy (no corrections)	-38.99	eV/atom
# energy relative to the elements	-0.741	eV per atom

What is the magnetic moment in the ninth record?
0.000 μB/cell

Among the records above, which one has the highest total DFT energy (no corrections)?
ScAg3Au

Which formula does entry 1 have?
AgSb2Au